# KTaSe2Br PBE-GGA optimized geometry
# **DOS at the Fermi energy**: 2.604 states/eV/atom
# **Polymorph energy (0 for the lowest one)**: 53.55 kcal/mol of atoms
# **SG**: P4/mmm, No. 123
data_KTaSe2Br
_symmetry_space_group_name_H-M 'P 1'
_symmetry_Int_Tables_number 1
_cell_length_a 5.435
_cell_length_b 5.435
_cell_length_c 5.332
_cell_angle_alpha 90.00
_cell_angle_beta 90.00
_cell_angle_gamma 90.00
loop_
_symmetry_equiv_pos_as_xyz
'x,y,z'
loop_
_atom_site_label
_atom_site_type_symbol
_atom_site_fract_x
_atom_site_fract_y
_atom_site_fract_z
K1 K 0.000 0.000 0.000
Ta1 Ta 0.500 0.500 0.500
Se1 Se 0.000 0.500 0.000
Se2 Se 0.500 0.000 0.000
Br1 Br 0.000 0.000 0.500

=====

# Sm4RuBr5 PBE-GGA optimized geometry
# **E_tot**: -5.018 eV per atom
# **DOS at the Fermi energy**: 0.574 states/eV/atom
# **SG**: C2/m, No. 12
data_Sm4RuBr5
_symmetry_space_group_name_H-M 'P 1'
_symmetry_Int_Tables_number 1
_cell_length_a 9.536
_cell_length_b 9.536
_cell_length_c 8.890
_cell_angle_alpha 103.86
_cell_angle_beta 103.86
_cell_angle_gamma 24.65
loop_
_symmetry_equiv_pos_as_xyz
'x,y,z'
loop_
_atom_site_label
_atom_site_type_symbol
_atom_site_fract_x
_atom_site_fract_y
_atom_site_fract_z
Sm1 Sm 0.001 0.001 0.221
Sm2 Sm 0.354 0.354 0.919
Sm3 Sm 0.646 0.646 0.081
Sm4 Sm 0.999 0.999 0.779
Ru1 Ru 0.500 0.500 0.000
Br1 Br 0.168 0.168 0.334
Br2 Br 0.173 0.173 0.846
Br3 Br 0.500 0.500 0.500
Br4 Br 0.827 0.827 0.154
Br5 Br 0.832 0.832 0.666

=====

# CeMg3Pb4 PBE-GGA optimized geometry
# **E_tot**: -3.369 eV per atom
# **DOS at the Fermi energy**: 1.076 states/eV/atom
# **SG**: Pmmm, No. 47
data_CeMg3Pb4
_symmetry_space_group_name_H-M 'P 1'
_symmetry_Int_Tables_number 1
_cell_length_a 4.463
_cell_length_b 4.873
_cell_length_c 9.954
_cell_angle_alpha 90.00
_cell_angle_beta 90.00
_cell_angle_gamma 90.00
loop_
_symmetry_equiv_pos_as_xyz
'x,y,z'
loop_
_atom_site_label
_atom_site_type_symbol
_atom_site_fract_x
_atom_site_fract_y
_atom_site_fract_z
Ce1 Ce 0.000 0.000 0.000
Mg1 Mg 0.000 0.000 0.500
Mg2 Mg 0.000 0.500 0.258
Mg3 Mg 0.000 0.500 0.742
Pb1 Pb 0.500 0.000 0.258
Pb2 Pb 0.500 0.000 0.742
Pb3 Pb 0.500 0.500 0.000
Pb4 Pb 0.500 0.500 0.500

=====

# PrHI PBE-GGA optimized geometry
# **E_tot**: -3.870 eV per atom
# **DOS at the Fermi energy**: 0.459 states/eV/atom
# **SG**: I4mm, No. 107
data_PrHI
_symmetry_space_group_name_H-M 'P 1'
_symmetry_Int_Tables_number 1
_cell_length_a 6.048
_cell_length_b 6.048
_cell_length_c 6.048
_cell_angle_alpha 144.82
_cell_angle_beta 144.82
_cell_angle_gamma 50.60
loop_
_symmetry_equiv_pos_as_xyz
'x,y,z'
loop_
_atom_site_label
_atom_site_type_symbol
_atom_site_fract_x
_atom_site_fract_y
_atom_site_fract_z
Pr1 Pr 0.000 0.000 0.000
H1 H 0.563 0.563 0.000
I1 I 0.302 0.302 0.000

=====

# LiTi2Ag PBE-GGA optimized geometry
# **DOS at the Fermi energy**: 1.087 states/eV/atom
# **Polymorph energy (0 for the lowest one)**: 3.87 kcal/mol of atoms
# **SG**: I-42d, No. 122
data_LiTi2Ag
_symmetry_space_group_name_H-M 'P 1'
_symmetry_Int_Tables_number 1
_cell_length_a 5.807
_cell_length_b 5.807
_cell_length_c 5.807
_cell_angle_alpha 100.61
_cell_angle_beta 100.61
_cell_angle_gamma 129.19
loop_
_symmetry_equiv_pos_as_xyz
'x,y,z'
loop_
_atom_site_label
_atom_site_type_symbol
_atom_site_fract_x
_atom_site_fract_y
_atom_site_fract_z
Li1 Li 0.000 0.000 0.000
Li2 Li 0.750 0.250 0.500
Ti1 Ti 0.124 0.125 0.499
Ti2 Ti 0.375 0.876 0.001
Ti3 Ti 0.626 0.625 0.501
Ti4 Ti 0.875 0.374 0.999
Ag1 Ag 0.250 0.750 0.500
Ag2 Ag 0.500 0.500 0.000

=====

# ScZn3Au PBE-GGA optimized geometry
# **DOS at the Fermi energy**: 0.484 states/eV/atom
# **Polymorph energy (0 for the lowest one)**: 0.00 kcal/mol of atoms
# **SG**: Cm, No. 8
data_ScZn3Au
_symmetry_space_group_name_H-M 'P 1'
_symmetry_Int_Tables_number 1
_cell_length_a 4.903
_cell_length_b 4.903
_cell_length_c 4.477
_cell_angle_alpha 117.01
_cell_angle_beta 117.01
_cell_angle_gamma 78.25
loop_
_symmetry_equiv_pos_as_xyz
'x,y,z'
loop_
_atom_site_label
_atom_site_type_symbol
_atom_site_fract_x
_atom_site_fract_y
_atom_site_fract_z
Sc1 Sc 0.000 0.000 0.000
Zn1 Zn 0.293 0.293 0.794
Zn2 Zn 0.306 0.701 0.504
Zn3 Zn 0.701 0.306 0.504
Au1 Au 0.703 0.703 0.203

=====

# La2PmDySe5 PBE-GGA optimized geometry
# **E_tot**: -5.501 eV per atom
# **DOS at the Fermi energy**: 0.656 states/eV/atom
# **SG**: P4/mmm, No. 123
data_La2PmDySe5
_symmetry_space_group_name_H-M 'P 1'
_symmetry_Int_Tables_number 1
_cell_length_a 5.142
_cell_length_b 5.142
_cell_length_c 10.947
_cell_angle_alpha 90.00
_cell_angle_beta 90.00
_cell_angle_gamma 90.00
loop_
_symmetry_equiv_pos_as_xyz
'x,y,z'
loop_
_atom_site_label
_atom_site_type_symbol
_atom_site_fract_x
_atom_site_fract_y
_atom_site_fract_z
La1 La 0.000 0.000 0.185
La2 La 0.000 0.000 0.815
Pm1 Pm 0.500 0.500 0.500
Dy1 Dy 0.500 0.500 0.000
Se1 Se 0.000 0.000 0.500
Se2 Se 0.000 0.500 0.000
Se3 Se 0.500 0.000 0.000
Se4 Se 0.500 0.500 0.251
Se5 Se 0.500 0.500 0.749

=====

# KPr5Te8 PBE-GGA optimized geometry
# **E_tot**: -5.021 eV per atom
# **SG**: I-4, No. 82
data_KPr5Te8
_symmetry_space_group_name_H-M 'P 1'
_symmetry_Int_Tables_number 1
_cell_length_a 8.395
_cell_length_b 8.395
_cell_length_c 8.395
_cell_angle_alpha 109.36
_cell_angle_beta 109.36
_cell_angle_gamma 109.69
loop_
_symmetry_equiv_pos_as_xyz
'x,y,z'
loop_
_atom_site_label
_atom_site_type_symbol
_atom_site_fract_x
_atom_site_fract_y
_atom_site_fract_z
K1 K 0.000 0.000 0.000
Pr1 Pr 0.243 0.626 0.125
Pr2 Pr 0.374 0.499 0.617
Pr3 Pr 0.501 0.118 0.875
Pr4 Pr 0.750 0.250 0.500
Pr5 Pr 0.882 0.757 0.383
Te1 Te 0.129 0.714 0.747
Te2 Te 0.131 0.235 0.747
Te3 Te 0.286 0.033 0.415
Te4 Te 0.488 0.385 0.253
Te5 Te 0.615 0.869 0.104
Te6 Te 0.618 0.871 0.585
Te7 Te 0.765 0.512 0.896
Te8 Te 0.967 0.382 0.253

=====

# LaNd6Tl5 PBE-GGA optimized geometry
# **DOS at the Fermi energy**: 1.269 states/eV/atom
# **Polymorph energy (0 for the lowest one)**: 0.31 kcal/mol of atoms
# **SG**: Cmmm, No. 65
data_LaNd6Tl5
_symmetry_space_group_name_H-M 'P 1'
_symmetry_Int_Tables_number 1
_cell_length_a 8.993
_cell_length_b 8.993
_cell_length_c 7.715
_cell_angle_alpha 90.00
_cell_angle_beta 90.00
_cell_angle_gamma 143.72
loop_
_symmetry_equiv_pos_as_xyz
'x,y,z'
loop_
_atom_site_label
_atom_site_type_symbol
_atom_site_fract_x
_atom_site_fract_y
_atom_site_fract_z
La1 La 0.000 0.000 0.000
Nd1 Nd 0.174 0.826 0.248
Nd2 Nd 0.174 0.826 0.752
Nd3 Nd 0.500 0.500 0.271
Nd4 Nd 0.500 0.500 0.729
Nd5 Nd 0.826 0.174 0.248
Nd6 Nd 0.826 0.174 0.752
Tl1 Tl 0.000 0.000 0.500
Tl2 Tl 0.333 0.667 0.500
Tl3 Tl 0.350 0.650 0.000
Tl4 Tl 0.650 0.350 0.000
Tl5 Tl 0.667 0.333 0.500

=====

# CsLaTl2Ge PBE-GGA optimized geometry
# **E_tot**: -2.157 eV per atom
# **DOS at the Fermi energy**: 1.379 states/eV/atom
# **SG**: P4/mmm, No. 123
data_CsLaTl2Ge
_symmetry_space_group_name_H-M 'P 1'
_symmetry_Int_Tables_number 1
_cell_length_a 6.057
_cell_length_b 6.057
_cell_length_c 6.574
_cell_angle_alpha 90.00
_cell_angle_beta 90.00
_cell_angle_gamma 90.00
loop_
_symmetry_equiv_pos_as_xyz
'x,y,z'
loop_
_atom_site_label
_atom_site_type_symbol
_atom_site_fract_x
_atom_site_fract_y
_atom_site_fract_z
Cs1 Cs 0.000 0.000 0.000
La1 La 0.000 0.000 0.500
Tl1 Tl 0.000 0.500 0.500
Tl2 Tl 0.500 0.000 0.500
Ge1 Ge 0.500 0.500 0.000

=====

# TbTmCdRh PBE-GGA optimized geometry
# **DOS at the Fermi energy**: 0.540 states/eV/atom
# **Polymorph energy (0 for the lowest one)**: 0.00 kcal/mol of atoms
# **SG**: P4mm, No. 99
data_TbTmCdRh
_symmetry_space_group_name_H-M 'P 1'
_symmetry_Int_Tables_number 1
_cell_length_a 3.491
_cell_length_b 3.491
_cell_length_c 7.524
_cell_angle_alpha 90.00
_cell_angle_beta 90.00
_cell_angle_gamma 90.00
loop_
_symmetry_equiv_pos_as_xyz
'x,y,z'
loop_
_atom_site_label
_atom_site_type_symbol
_atom_site_fract_x
_atom_site_fract_y
_atom_site_fract_z
Tb1 Tb 0.000 0.000 0.000
Tm1 Tm 0.000 0.000 0.566
Cd1 Cd 0.500 0.500 0.290
Rh1 Rh 0.500 0.500 0.775

=====

# AsP2Os PBE-GGA optimized geometry
# **E_tot**: -6.574 eV per atom
# **DOS at the Fermi energy**: 0.484 states/eV/atom
# **SG**: I-42d, No. 122
data_AsP2Os
_symmetry_space_group_name_H-M 'P 1'
_symmetry_Int_Tables_number 1
_cell_length_a 6.582
_cell_length_b 6.582
_cell_length_c 6.582
_cell_angle_alpha 131.19
_cell_angle_beta 131.19
_cell_angle_gamma 71.50
loop_
_symmetry_equiv_pos_as_xyz
'x,y,z'
loop_
_atom_site_label
_atom_site_type_symbol
_atom_site_fract_x
_atom_site_fract_y
_atom_site_fract_z
As1 As 0.000 0.000 0.000
As2 As 0.750 0.250 0.500
P1 P 0.154 0.625 0.029
P2 P 0.375 0.404 0.529
P3 P 0.596 0.125 0.971
P4 P 0.875 0.846 0.471
Os1 Os 0.250 0.750 0.500
Os2 Os 0.500 0.500 0.000

=====

Mass density (Mg/m³)
4.83 5.60 7.99 6.11 5.10 8.52 5.62 6.43 9.11 5.19 9.84 6.88